1.
{"formula": "PrCu3Si", "functional": "PBE-GGA", "state": "optimized geometry", "magmom_total_mub_per_atom": 0.00, "dos_ef_per_ev_cell": 4.1, "total_energy_ev_per_cell": -22.74, "raw_formation_energy_ev_per_atom": -0.05, "relative_energy_ev_per_atom": 0.2932, "lattice": [[4.514, 0.000, 0.000], [0.000, 4.514, 0.000], [0.000, 0.000, 4.514]], "species": ["Pr", "Cu", "Cu", "Cu", "Si"], "frac_coords": [[0.000, 0.000, 0.000], [0.000, 0.500, 0.500], [0.500, 0.000, 0.500], [0.500, 0.500, 0.000], [0.500, 0.500, 0.500]]}

=====

2.
{"formula": "DyTm3In2", "functional": "PBE-GGA", "state": "optimized geometry", "magmom_total_mub_per_atom": 0.00, "dos_ef_per_ev_cell": 21.1, "total_energy_ev_per_cell": -101.45, "relative_energy_ev_per_atom": 0.0000, "formation_energy_ev_per_atom": -0.31, "lattice": [[10.829, 0.000, 0.000], [0.000, 3.602, 0.000], [0.000, 0.000, 17.003]], "species": ["Dy", "Dy", "Dy", "Dy", "Tm", "Tm", "Tm", "Tm", "Tm", "Tm", "Tm", "Tm", "Tm", "Tm", "Tm", "Tm", "In", "In", "In", "In", "In", "In", "In", "In"], "frac_coords": [[0.005, 0.250, 0.092], [0.495, 0.750, 0.592], [0.505, 0.250, 0.408], [0.995, 0.750, 0.908], [0.003, 0.750, 0.589], [0.247, 0.250, 0.277], [0.250, 0.250, 0.957], [0.250, 0.750, 0.457], [0.253, 0.750, 0.777], [0.497, 0.250, 0.089], [0.503, 0.750, 0.911], [0.747, 0.250, 0.223], [0.750, 0.250, 0.543], [0.750, 0.750, 0.043], [0.753, 0.750, 0.723], [0.997, 0.250, 0.411], [0.004, 0.250, 0.747], [0.247, 0.250, 0.618], [0.253, 0.750, 0.118], [0.496, 0.750, 0.247], [0.504, 0.250, 0.753], [0.747, 0.250, 0.882], [0.753, 0.750, 0.382], [0.996, 0.750, 0.253]]}